Crystalline Mo3PdO at its relaxed geometry. Source: Alexandria via LeMat-Bulk, functional GGA+U.

a = 4.152 Å, b = 4.152 Å, c = 4.152 Å
α = 90.00°, β = 90.00°, γ = 90.00°
Space group Pm-3m (No. 221)
Unique sites:
Mo1 0.000 0.000 0.500 (multiplicity 3)
Pd1 0.500 0.500 0.500 (multiplicity 1)
O1 0.000 0.000 0.000 (multiplicity 1)

- crystal system = cubic
- energy above the lowest structure with this stoichiometry (meV per atom) = 0
- Fermi-level density of states (states/eV per cell) = 4.428
- total energy (eV per atom) = -5.71